Se2SI, relaxed, DFT PBE; DFT total energy = -2.7236 eV per atom; ΔE to the lowest computed polymorph = 46.6 meV/atom; E_form (uncorrected) = 438.1 meV per atom
1.0
-1.911 -4.922 -0.813
1.586 0.226 -5.097
7.149 -5.540 -0.821
I S Se
2 2 4
Direct
0.000 0.000 0.000
0.750 0.250 0.500
0.500 0.500 0.000
0.250 0.750 0.500
0.465 0.125 0.250
0.285 0.625 0.250
0.375 0.535 0.750
0.875 0.715 0.750

=====

Li2Sm2US6, relaxed, DFT PBE; DFT total energy = -6.1426 eV per atom; E_form (uncorrected) = -1659.1 meV per atom
1.0
-5.788 -3.624 -1.406
6.195 -3.200 0.028
-0.799 0.882 6.416
Li Sm U S
2 2 1 6
Direct
0.838 0.162 0.000
0.162 0.838 0.000
0.335 0.665 0.500
0.665 0.335 0.500
0.000 0.000 0.500
0.762 0.762 0.745
0.069 0.399 0.745
0.238 0.238 0.255
0.399 0.069 0.745
0.931 0.601 0.255
0.601 0.931 0.255

=====

Nd3TmTl4S8, relaxed, DFT PBE; DFT total energy = -5.2854 eV per atom; E_form (uncorrected) = -1456.7 meV per atom
1.0
-2.762 -4.976 -5.993
3.789 -6.963 4.035
-5.333 4.545 4.383
Nd Tm Tl S
3 1 4 8
Direct
0.500 0.500 0.000
0.500 0.500 0.500
0.000 0.500 0.500
0.000 0.500 0.000
0.500 0.000 0.000
0.500 0.000 0.500
0.000 0.000 0.000
0.000 0.000 0.500
0.228 0.701 0.973
0.228 0.701 0.456
0.265 0.294 0.530
0.744 0.701 0.973
0.256 0.299 0.027
0.735 0.706 0.470
0.772 0.299 0.544
0.772 0.299 0.027

=====

Tl4Cd2InHg2, relaxed, DFT PBE; DFT total energy = -1.5994 eV per atom; E_form = 0.03 eV per atom
1.0
-2.457 2.779 -5.311
-4.048 -7.282 -2.209
-0.026 1.831 7.658
Tl Cd In Hg
4 2 1 2
Direct
0.517 0.792 0.940
0.736 0.688 0.385
0.483 0.208 0.060
0.264 0.312 0.615
0.268 0.872 0.447
0.732 0.128 0.553
0.000 0.000 0.000
0.097 0.443 0.210
0.903 0.557 0.790

=====

GaSnPd14, relaxed, DFT PBE; DFT total energy = -5.2212 eV per atom; E_form = -0.24 eV per atom
1.0
-0.874 1.118 5.539
-0.126 -5.607 1.112
7.524 0.064 1.175
Ga Sn Pd
1 1 14
Direct
0.375 0.375 0.500
0.875 0.875 0.500
0.875 0.875 0.000
0.375 0.375 0.000
0.875 0.375 0.500
0.875 0.375 0.000
0.375 0.875 0.500
0.375 0.875 0.000
0.622 0.128 0.254
0.622 0.128 0.746
0.128 0.622 0.254
0.128 0.622 0.746
0.622 0.622 0.254
0.622 0.622 0.746
0.128 0.128 0.254
0.128 0.128 0.746

=====

NaGeSb2, relaxed, DFT PBE; DFT total energy = -3.5459 eV per atom; E_form (uncorrected) = -0.6 meV per atom
1.0
-5.687 -4.969 3.461
3.178 -6.491 -4.097
0.719 -6.297 2.111
Sb Ge Na
4 2 2
Direct
0.666 0.125 0.250
0.084 0.625 0.250
0.375 0.334 0.750
0.875 0.916 0.750
0.000 0.000 0.000
0.750 0.250 0.500
0.500 0.500 0.000
0.250 0.750 0.500

=====

ZnPb3N, relaxed, DFT PBE; DFT total energy = -2.7839 eV per atom; E_form (uncorrected) = 1361.0 meV per atom
1.0
-3.596 3.170 -2.170
1.805 -1.229 -4.787
-3.391 -4.016 -0.248
Pb Zn N
3 1 1
Direct
0.000 0.500 0.000
0.000 0.000 0.500
0.500 0.000 0.000
0.000 0.000 0.000
0.500 0.500 0.500

=====

CdBrCl, relaxed, DFT PBE; DFT total energy = -1.6825 eV per atom; E_form (uncorrected) = -204.3 meV per atom
1.0
4.898 0.000 0.000
2.449 4.242 0.000
2.449 1.414 4.000
Cl Br Cd
1 1 1
Direct
0.500 0.500 0.500
0.750 0.750 0.750
0.000 0.000 0.000

=====

Number 1: total moment 0.00 μB per cell. Number 2: total moment 2.00 μB per cell. Number 3: total moment 0.00 μB per cell. Number 4: total moment 0.00 μB per cell. Number 5: total moment 0.00 μB per cell. Number 6: total moment 0.00 μB per cell. Number 7: total moment 0.00 μB per cell. Number 8: total moment 0.00 μB per cell.